No. 1
Pu2CuSi3Pt12 after structural relaxation, computed with PBE-GGA.

Results
Crystal system: trigonal
N(E_F), states/eV per atom: 1.6733
Uncorrected formation energy, kJ/mol of formula units: -655
VASP energy, eV per atom: -7.128
SG: R-3m, No. 166

Cell: 7.6239 7.6239 7.6239 Å, 64.84 64.84 64.84°
Fractional coordinates of all 18 atoms:
Pu  0.1177  0.1177  0.1177
Pu  0.8823  0.8823  0.8823
Cu  0.5000  0.5000  0.5000
Si  0.0000  0.5000  0.5000
Si  0.5000  0.0000  0.5000
Si  0.5000  0.5000  0.0000
Pt  0.1253  0.6319  0.6319
Pt  0.1392  0.1392  0.6090
Pt  0.1392  0.6090  0.1392
Pt  0.3681  0.3681  0.8747
Pt  0.3681  0.8747  0.3681
Pt  0.3910  0.8608  0.8608
Pt  0.6090  0.1392  0.1392
Pt  0.6319  0.1253  0.6319
Pt  0.6319  0.6319  0.1253
Pt  0.8608  0.3910  0.8608
Pt  0.8608  0.8608  0.3910
Pt  0.8747  0.3681  0.3681

***

No. 2
TaMo after structural relaxation, computed with PBE-GGA.

Results
Crystal system: orthorhombic
Formation enthalpy at 0 K, eV/atom: -0.116
N(E_F), states/eV per atom: 0.9166
VASP energy, eV per atom: -11.458
SG: Amm2, No. 38

Cell: 3.2261 4.6510 13.5460 Å, 90.00 90.00 90.00°
Fractional coordinates of all 12 atoms:
Ta  0.0000  0.0000  0.0000
Ta  0.0000  0.0000  0.3299
Ta  0.0000  0.5000  0.5000
Ta  0.0000  0.5000  0.8299
Ta  0.5000  0.0000  0.5043
Ta  0.5000  0.5000  0.0043
Mo  0.0000  0.0000  0.6698
Mo  0.0000  0.5000  0.1698
Mo  0.5000  0.0000  0.1661
Mo  0.5000  0.0000  0.8304
Mo  0.5000  0.5000  0.3303
Mo  0.5000  0.5000  0.6661

***

No. 3
Nb12Sn3Ru after structural relaxation, computed with PBE-GGA.

Results
Crystal system: orthorhombic
Formation enthalpy at 0 K, eV/atom: -0.197
N(E_F), states/eV per atom: 0.8615
VASP energy, eV per atom: -9.080
SG: Pmmm, No. 47

Cell: 5.2820 5.2867 10.5877 Å, 90.00 90.00 90.00°
Fractional coordinates of all 16 atoms:
Nb  0.0000  0.0000  0.1177
Nb  0.0000  0.0000  0.3708
Nb  0.0000  0.0000  0.6292
Nb  0.0000  0.0000  0.8823
Nb  0.2454  0.5000  0.2411
Nb  0.2454  0.5000  0.7589
Nb  0.5000  0.2457  0.5000
Nb  0.5000  0.2568  0.0000
Nb  0.5000  0.7432  0.0000
Nb  0.5000  0.7543  0.5000
Nb  0.7546  0.5000  0.2411
Nb  0.7546  0.5000  0.7589
Sn  0.0000  0.5000  0.5000
Sn  0.5000  0.0000  0.2514
Sn  0.5000  0.0000  0.7486
Ru  0.0000  0.5000  0.0000

***

No. 4
RbYSc2H after structural relaxation, computed with PBE-GGA.

Results
Crystal system: tetragonal
N(E_F), states/eV per atom: 0.9207
VASP energy, eV per atom: -4.244
SG: P4/mmm, No. 123

Cell: 4.8233 4.8233 5.4495 Å, 90.00 90.00 90.00°
Fractional coordinates of all 5 atoms:
Rb  0.0000  0.0000  0.0000
Y  0.5000  0.5000  0.0000
Sc  0.0000  0.5000  0.5000
Sc  0.5000  0.0000  0.5000
H  0.0000  0.0000  0.5000